(1)
MgTaPt2 SCAN single point on PBEsol structure; D(E_F) = 0.86 states/eV/atom; ΔH_f (0 K) = -42.3 kJ per mole of atoms
1.0
4.467 0.000 0.000
2.233 3.868 0.000
2.233 1.289 3.647
Pt Ta Mg
2 1 1
Direct
0.000 0.000 0.000
0.750 0.750 0.750
0.250 0.250 0.250
0.500 0.500 0.500

---

(2)
Na2AgSbF6 SCAN single point on PBEsol structure; D(E_F) = 0.00 states/eV/atom; uncorrected energy = -11.9153 eV per atom
1.0
6.340 0.000 0.000
3.170 5.491 0.000
3.170 1.830 5.177
F Na Sb Ag
6 2 1 1
Direct
0.760 0.240 0.760
0.240 0.240 0.760
0.760 0.760 0.240
0.240 0.760 0.760
0.240 0.760 0.240
0.760 0.240 0.240
0.250 0.250 0.250
0.750 0.750 0.750
0.000 0.000 0.000
0.500 0.500 0.500

---

(3)
MoPt4Au SCAN single point on PBEsol structure; D(E_F) = 0.73 states/eV/atom; ΔH_f (0 K) = 16.7 kJ per mole of atoms
1.0
-3.435 1.621 -3.496
-2.390 -3.414 -3.046
-5.023 -0.983 0.669
Pt Mo Au
4 1 1
Direct
0.625 0.125 0.625
0.125 0.625 0.625
0.625 0.625 0.625
0.625 0.625 0.125
0.000 0.000 0.000
0.250 0.250 0.250

---

(4)
Cd2InRu SCAN single point on PBEsol structure; D(E_F) = 0.73 states/eV/atom; offset from the most stable computed form = 10 meV per atom; ΔH_f (0 K) = 17.3 kJ per mole of atoms
1.0
-3.373 1.631 -1.552
-1.592 0.257 3.729
1.697 3.942 0.453
Cd Ru In
2 1 1
Direct
0.500 0.500 0.000
0.000 0.000 0.000
0.000 0.500 0.500
0.500 0.000 0.500

---

(5)
HoAlB14 SCAN single point on PBEsol structure; D(E_F) = 0.10 states/eV/atom; ΔH_f (0 K) = -18.9 kJ per mole of atoms
1.0
-0.532 1.761 5.589
-6.736 -0.538 2.626
-0.519 -5.441 4.762
B Ho Al
28 2 2
Direct
0.724 0.601 0.276
0.899 0.776 0.101
0.856 0.770 0.518
0.172 0.628 0.532
0.672 0.032 0.128
0.410 0.757 0.423
0.644 0.982 0.730
0.101 0.224 0.899
0.776 0.224 0.899
0.399 0.601 0.276
0.601 0.399 0.724
0.224 0.776 0.101
0.168 0.032 0.128
0.276 0.399 0.724
0.828 0.372 0.468
0.328 0.968 0.872
0.356 0.018 0.270
0.910 0.923 0.257
0.090 0.077 0.743
0.833 0.201 0.133
0.333 0.633 0.701
0.144 0.230 0.482
0.167 0.799 0.867
0.332 0.372 0.468
0.667 0.367 0.299
0.668 0.628 0.532
0.590 0.243 0.577
0.832 0.968 0.872
0.750 0.600 0.900
0.250 0.400 0.100
0.500 0.000 0.500
0.000 0.000 0.500

---

(6)
ZrSiBi2Br SCAN single point on PBEsol structure; D(E_F) = 0.31 states/eV/atom; uncorrected energy = -43.1462 eV per atom
1.0
5.072 0.000 0.000
0.000 5.567 0.000
0.000 0.000 5.567
Br Bi Si Zr
1 2 1 1
Direct
0.500 0.500 0.500
0.000 0.000 0.500
0.000 0.500 0.000
0.500 0.000 0.000
0.000 0.000 0.000

---

(7)
MoCl2F SCAN single point on PBEsol structure; D(E_F) = 0.28 states/eV/atom; offset from the most stable computed form = 602 meV per atom
1.0
4.310 0.000 0.000
2.155 3.732 0.000
2.155 1.244 3.519
Cl F Mo
2 1 1
Direct
0.250 0.250 0.250
0.750 0.750 0.750
0.000 0.000 0.000
0.500 0.500 0.500

---

(8)
MnIrPt2 SCAN single point on PBEsol structure; D(E_F) = 0.85 states/eV/atom; ΔH_f (0 K) = -34.2 kJ per mole of atoms
1.0
3.847 0.000 0.000
0.000 3.847 0.000
-1.923 -1.923 3.806
Ir Mn Pt
1 1 2
Direct
0.500 0.500 0.000
0.250 0.750 0.500
0.750 0.250 0.500
0.000 0.000 0.000

---

(9)
LaTcRh SCAN single point on PBEsol structure; D(E_F) = 0.76 states/eV/atom; ΔH_f (0 K) = 35.6 kJ per mole of atoms
1.0
-2.548 -0.001 1.339
1.667 -2.855 3.170
0.315 4.529 0.604
Rh Tc La
1 1 1
Direct
0.716 0.667 0.333
0.238 0.333 0.667
0.046 0.000 0.000

---

(10)
YCoIr2 SCAN single point on PBEsol structure; D(E_F) = 0.86 states/eV/atom; offset from the most stable computed form = 0 meV per atom; ΔH_f (0 K) = -22.4 kJ per mole of atoms
1.0
-0.517 -2.802 -0.755
1.168 -1.049 3.091
-5.750 0.436 2.321
Ir Y Co
2 1 1
Direct
0.000 0.000 0.707
0.000 0.000 0.293
0.500 0.500 0.000
0.500 0.500 0.500

---

(11)
LiCuS SCAN single point on PBEsol structure; D(E_F) = 0.00 states/eV/atom; uncorrected energy = -9.8582 eV per atom
1.0
-2.968 1.878 -1.520
1.814 -2.683 -2.040
-4.201 -4.681 2.420
Li Cu S
2 2 2
Direct
0.000 0.000 0.500
0.000 0.000 0.000
0.667 0.333 0.750
0.333 0.667 0.250
0.667 0.333 0.250
0.333 0.667 0.750

---

(12)
Ba4Pr2Cu6O13 SCAN single point on PBEsol structure; D(E_F) = 0.13 states/eV/atom; uncorrected energy = -18.7291 eV per atom
1.0
5.496 0.004 0.000
-0.090 5.495 0.000
-2.703 -2.750 11.788
Cu O Ba Pr
6 13 4 2
Direct
0.928 0.424 0.352
0.260 0.740 0.000
0.740 0.260 0.000
0.072 0.576 0.648
0.424 0.928 0.352
0.576 0.072 0.648
0.815 0.815 0.629
0.153 0.695 0.848
0.695 0.153 0.848
0.815 0.315 0.630
0.500 0.500 0.000
0.185 0.685 0.370
0.185 0.185 0.371
0.315 0.815 0.630
0.305 0.847 0.152
0.317 0.317 0.633
0.847 0.305 0.152
0.683 0.683 0.367
0.685 0.185 0.370
0.648 0.648 0.812
0.164 0.164 0.812
0.836 0.836 0.188
0.352 0.352 0.188
0.000 0.000 0.500
0.500 0.500 0.500

---

(13)
Hf6NiSb2 SCAN single point on PBEsol structure; D(E_F) = 0.55 states/eV/atom; uncorrected energy = -52.4159 eV per atom
1.0
-2.857 1.180 -1.792
1.979 -4.290 -5.981
-4.564 -2.856 5.394
Hf Sb Ni
6 2 1
Direct
0.000 0.000 0.398
0.500 0.760 0.000
0.000 0.398 0.000
0.500 0.000 0.760
0.000 0.602 0.602
0.500 0.240 0.240
0.500 0.667 0.333
0.500 0.333 0.667
0.000 0.000 0.000

---

(14)
YScMo2 SCAN single point on PBEsol structure; D(E_F) = 0.85 states/eV/atom; offset from the most stable computed form = 0 meV per atom; ΔH_f (0 K) = 8.3 kJ per mole of atoms
1.0
-1.985 0.306 -2.509
-1.705 -2.518 1.042
-4.566 4.830 4.202
Y Sc Mo
1 1 2
Direct
0.500 0.500 0.793
0.000 0.000 0.440
0.000 0.000 0.048
0.500 0.500 0.219

---

(15)
Na2LaSb2 SCAN single point on PBEsol structure; D(E_F) = 0.29 states/eV/atom; offset from the most stable computed form = 0 meV per atom
1.0
-0.042 0.505 3.308
-2.429 -8.413 1.253
8.505 -2.385 0.472
La Na Sb
2 4 4
Direct
0.000 0.000 0.000
0.000 0.500 0.500
0.000 0.890 0.610
0.000 0.610 0.110
0.000 0.110 0.390
0.000 0.390 0.890
0.500 0.688 0.812
0.500 0.812 0.312
0.500 0.312 0.188
0.500 0.188 0.688

---

(16)
LiMg3 SCAN single point on PBEsol structure; D(E_F) = 0.39 states/eV/atom; ΔH_f (0 K) = -1.4 kJ per mole of atoms
1.0
-4.642 2.067 0.131
-1.989 -4.694 3.594
0.372 0.442 6.195
Mg Li
6 2
Direct
0.750 0.089 0.329
0.750 0.085 0.831
0.750 0.582 0.329
0.250 0.418 0.671
0.250 0.911 0.671
0.250 0.915 0.169
0.250 0.415 0.169
0.750 0.585 0.831

---

(17)
Na3B5H2O10 SCAN single point on PBEsol structure; D(E_F) = 0.00 states/eV/atom; uncorrected energy = -8.2920 eV per atom
1.0
-2.927 -4.080 -3.385
5.489 -8.182 5.115
-8.120 -0.604 7.748
O B H Na
40 20 8 12
Direct
0.572 0.470 0.544
0.785 0.878 0.467
0.886 0.587 0.495
0.719 0.570 0.938
0.005 0.108 0.211
0.114 0.087 0.505
0.005 0.608 0.289
0.901 0.258 0.566
0.281 0.570 0.438
0.998 0.906 0.790
0.995 0.608 0.789
0.716 0.463 0.346
0.099 0.758 0.434
0.428 0.470 0.044
0.886 0.087 0.005
0.722 0.056 0.346
0.114 0.587 0.995
0.785 0.378 0.033
0.504 0.753 0.202
0.496 0.253 0.798
0.215 0.878 0.967
0.002 0.406 0.210
0.278 0.556 0.654
0.496 0.753 0.702
0.722 0.556 0.154
0.099 0.258 0.066
0.716 0.963 0.154
0.504 0.253 0.298
0.215 0.378 0.533
0.998 0.406 0.710
0.278 0.056 0.846
0.901 0.758 0.934
0.284 0.963 0.654
0.284 0.463 0.846
0.002 0.906 0.290
0.428 0.970 0.456
0.719 0.070 0.562
0.572 0.970 0.956
0.995 0.108 0.711
0.281 0.070 0.062
0.725 0.507 0.461
0.039 0.348 0.604
0.330 0.497 0.541
0.039 0.848 0.896
0.961 0.848 0.396
0.933 0.127 0.587
0.136 0.012 0.752
0.275 0.507 0.961
0.136 0.512 0.748
0.067 0.627 0.413
0.864 0.012 0.252
0.725 0.007 0.039
0.670 0.997 0.459
0.275 0.007 0.539
0.330 0.997 0.959
0.933 0.627 0.913
0.961 0.348 0.104
0.864 0.512 0.248
0.670 0.497 0.041
0.067 0.127 0.087
0.408 0.827 0.680
0.592 0.827 0.180
0.601 0.681 0.181
0.399 0.181 0.819
0.408 0.327 0.820
0.592 0.327 0.320
0.601 0.181 0.319
0.399 0.681 0.681
0.349 0.505 0.245
0.349 0.005 0.255
0.525 0.256 0.576
0.475 0.256 0.076
0.475 0.756 0.424
0.092 0.249 0.361
0.908 0.249 0.861
0.092 0.749 0.139
0.651 0.505 0.745
0.525 0.756 0.924
0.908 0.749 0.639
0.651 0.005 0.755

---

(18)
ZrIr2Au SCAN single point on PBEsol structure; D(E_F) = 0.49 states/eV/atom; offset from the most stable computed form = 0 meV per atom; ΔH_f (0 K) = -37.4 kJ per mole of atoms
1.0
-2.022 1.702 1.335
-2.186 -2.305 -3.657
-0.377 -3.262 3.587
Au Ir Zr
1 2 1
Direct
0.000 0.000 0.500
0.245 0.491 0.252
0.755 0.509 0.748
0.500 0.000 0.000

---

(19)
ZnCdIn2 SCAN single point on PBEsol structure; D(E_F) = 0.37 states/eV/atom; offset from the most stable computed form = 64 meV per atom; ΔH_f (0 K) = 13.9 kJ per mole of atoms
1.0
-3.841 0.077 -2.265
2.251 -0.398 -3.829
0.534 -4.153 3.343
In Cd Zn
2 1 1
Direct
0.750 0.250 0.500
0.000 0.000 0.000
0.250 0.750 0.500
0.500 0.500 0.000

---

(20)
Li2Ti3V3O12 SCAN single point on PBEsol structure; D(E_F) = 0.23 states/eV/atom; uncorrected energy = -11.8243 eV per atom
1.0
5.029 0.016 -0.024
1.684 5.763 -0.018
1.741 1.279 7.424
Ti O V Li
3 12 3 2
Direct
0.490 0.331 0.163
0.500 0.000 0.500
0.510 0.669 0.837
0.728 0.695 0.595
0.233 0.538 0.761
0.767 0.462 0.239
0.740 0.032 0.259
0.771 0.807 0.905
0.758 0.145 0.570
0.262 0.642 0.068
0.242 0.855 0.430
0.229 0.193 0.095
0.738 0.358 0.932
0.272 0.305 0.405
0.260 0.968 0.741
0.998 0.839 0.661
0.002 0.161 0.339
0.000 0.500 0.000
0.000 0.000 0.000
0.500 0.500 0.500